[1]
VASP calculation (PBE-GGA) on a relaxed structure of DyYF.

Energy ... -5.858 eV per atom
Energy relative to the elements, uncorrected ... -1.546 eV per atom

```
DyYF
1.0
3.7068 0.0000 0.0000
-1.8534 3.2101 0.0000
0.0000 0.0000 5.6195
Dy Y F
1 1 1
direct
0.0000 0.0000 0.0000 Dy
0.6667 0.3333 0.4851 Y
0.3333 0.6667 0.7441 F
```

=====

[2]
VASP calculation (PBE-GGA) on a relaxed structure of DyYF5.

Energy ... -6.738 eV per atom
Energy relative to the elements, uncorrected ... -3.821 eV per atom

```
DyYF5
1.0
4.7926 -3.6331 0.0000
4.7926 3.6331 0.0000
-3.1764 0.0000 7.1354
Dy Y F
2 2 10
direct
0.0171 0.9829 0.7500 Dy
0.9829 0.0171 0.2500 Dy
0.5000 0.5000 0.0000 Y
0.5000 0.5000 0.5000 Y
0.1702 0.8286 0.0222 F
0.1714 0.8298 0.4778 F
0.2355 0.2619 0.3740 F
0.2619 0.2355 0.8740 F
0.3296 0.6704 0.7500 F
0.6704 0.3296 0.2500 F
0.7381 0.7645 0.1260 F
0.7645 0.7381 0.6260 F
0.8286 0.1702 0.5222 F
0.8298 0.1714 0.9778 F
```

=====

[3]
VASP calculation (PBE-GGA) on a relaxed structure of DyY2F11.

Energy ... -6.163 eV per atom
Energy relative to the elements, uncorrected ... -3.440 eV per atom

```
DyY2F11
1.0
-4.1921 5.1236 5.5643
4.1921 -5.1236 5.5643
4.1921 5.1236 -5.5643
Dy Y F
2 4 22
direct
0.2500 0.2500 0.0000 Dy
0.7500 0.7500 0.0000 Dy
0.1899 0.6607 0.8506 Y
0.3101 0.1607 0.4708 Y
0.6899 0.8393 0.5292 Y
0.8101 0.3393 0.1494 Y
0.0000 0.5000 0.5000 F
0.0267 0.9580 0.2711 F
0.0582 0.3394 0.1291 F
0.1868 0.4580 0.9313 F
0.1931 0.3919 0.5850 F
0.2103 0.9292 0.8709 F
0.2897 0.1606 0.7188 F
0.3069 0.8919 0.1987 F
0.3132 0.2445 0.2711 F
0.4418 0.5708 0.2812 F
0.4733 0.7445 0.9313 F
0.5000 0.0000 0.5000 F
0.5267 0.2555 0.0687 F
0.5582 0.4292 0.7188 F
0.6868 0.7555 0.7289 F
0.6931 0.1081 0.8013 F
0.7103 0.8394 0.2812 F
0.7897 0.0708 0.1291 F
0.8069 0.6081 0.4150 F
0.8132 0.5420 0.0687 F
0.9418 0.6606 0.8709 F
0.9733 0.0420 0.7289 F
```

=====

[4]
VASP calculation (PBE-GGA) on a relaxed structure of DyY2F8.

Energy ... -6.728 eV per atom
Energy relative to the elements, uncorrected ... -3.774 eV per atom

```
DyY2F8
1.0
3.4902 -5.1465 0.0000
3.4902 5.1465 0.0000
-1.5708 0.0000 4.0224
Dy Y F
1 2 8
direct
0.0000 0.0000 0.0000 Dy
0.3161 0.6839 0.5000 Y
0.6839 0.3161 0.5000 Y
0.0608 0.3118 0.5308 F
0.2406 0.7594 0.0000 F
0.3118 0.0608 0.5308 F
0.3654 0.3654 0.1827 F
0.6346 0.6346 0.8173 F
0.6882 0.9392 0.4692 F
0.7594 0.2406 0.0000 F
0.9392 0.6882 0.4692 F
```

=====

[5]
VASP calculation (PBE-GGA) on a relaxed structure of Dy2ZnF8.

Energy ... -5.936 eV per atom
Offset from the most stable computed form ... 0 meV/atom
Energy relative to the elements, uncorrected ... -3.623 eV per atom

```
Dy2ZnF8
1.0
4.7762 -3.5623 0.0000
4.7762 3.5623 0.0000
-1.4320 0.0000 4.4078
Dy Zn F
2 1 8
direct
0.1755 0.1755 0.3870 Dy
0.8245 0.8245 0.6130 Dy
0.5000 0.5000 0.0000 Zn
0.0775 0.0775 0.7940 F
0.1567 0.5443 0.7301 F
0.3650 0.3650 0.2395 F
0.4557 0.8433 0.2699 F
0.5443 0.1567 0.7301 F
0.6350 0.6350 0.7605 F
0.8433 0.4557 0.2699 F
0.9225 0.9225 0.2060 F
```

=====

[6]
VASP calculation (PBE-GGA) on a relaxed structure of DyZnF.

Energy ... -4.259 eV per atom
Energy relative to the elements, uncorrected ... -1.676 eV per atom

```
DyZnF
1.0
3.3168 0.0000 0.0000
0.0000 3.3168 0.0000
0.0000 0.0000 8.9808
Dy Zn F
2 2 2
direct
0.2500 0.2500 0.1984 Dy
0.7500 0.7500 0.8016 Dy
0.2500 0.2500 0.5785 Zn
0.7500 0.7500 0.4215 Zn
0.2500 0.2500 0.9334 F
0.7500 0.7500 0.0666 F
```

=====

[7]
VASP calculation (PBE-GGA) on a relaxed structure of Dy2ZnF8.

Energy ... -5.865 eV per atom
Offset from the most stable computed form ... 71 meV/atom
Energy relative to the elements, uncorrected ... -3.552 eV per atom

```
Dy2ZnF8
1.0
7.9686 -1.6995 0.0000
7.9686 1.6995 0.0000
-0.1529 0.0000 5.7789
Dy Zn F
2 1 8
direct
0.1545 0.1545 0.3432 Dy
0.8455 0.8455 0.6568 Dy
0.5000 0.5000 0.0000 Zn
0.0163 0.0163 0.2173 F
0.2435 0.2435 0.6711 F
0.3722 0.3722 0.9316 F
0.3928 0.3928 0.4632 F
0.6072 0.6072 0.5368 F
0.6278 0.6278 0.0684 F
0.7565 0.7565 0.3289 F
0.9837 0.9837 0.7827 F
```

=====

[8]
VASP calculation (PBE-GGA) on a relaxed structure of Dy2ZnF.

Energy ... -4.301 eV per atom
Energy relative to the elements, uncorrected ... -1.214 eV per atom

```
Dy2ZnF
1.0
1.8948 1.0939 6.6307
-1.8948 1.0939 6.6307
0.0000 -2.1879 6.6307
Dy Zn F
2 1 1
direct
0.2372 0.2372 0.2372 Dy
0.7628 0.7628 0.7628 Dy
0.0000 0.0000 0.0000 Zn
0.5000 0.5000 0.5000 F
```

=====

[9]
VASP calculation (PBE-GGA) on a relaxed structure of DyZrF.

Energy ... -6.314 eV per atom
Energy relative to the elements, uncorrected ... -1.307 eV per atom

```
DyZrF
1.0
3.1215 -1.6037 0.0000
3.1215 1.6037 0.0000
-0.1706 0.0000 12.2157
Dy Zr F
2 2 2
direct
0.1489 0.1489 0.3856 Dy
0.8511 0.8511 0.6144 Dy
0.3551 0.3551 0.0920 Zr
0.6449 0.6449 0.9080 Zr
0.1714 0.1714 0.7540 F
0.8286 0.8286 0.2460 F
```

=====

[10]
VASP calculation (PBE-GGA) on a relaxed structure of DyZrF7.

Energy ... -6.826 eV per atom
Energy relative to the elements, uncorrected ... -3.910 eV per atom

```
DyZrF7
1.0
6.0994 0.0000 0.0000
0.0000 5.8569 0.0000
-1.9108 0.0000 8.1066
Dy Zr F
2 2 14
direct
0.1510 0.0000 0.1885 Dy
0.8490 0.5000 0.8115 Dy
0.3181 0.0014 0.7261 Zr
0.6819 0.5014 0.2739 Zr
0.0078 0.7421 0.0031 F
0.0850 0.7462 0.7072 F
0.0874 0.2594 0.7069 F
0.2699 0.0005 0.4758 F
0.3631 0.0026 0.9752 F
0.4277 0.2661 0.2560 F
0.4319 0.7404 0.2586 F
0.5681 0.2404 0.7414 F
0.5723 0.7661 0.7440 F
0.6369 0.5026 0.0248 F
0.7301 0.5005 0.5242 F
0.9126 0.7594 0.2931 F
0.9150 0.2462 0.2928 F
0.9922 0.2421 0.9969 F
```

=====

[11]
VASP calculation (PBE-GGA) on a relaxed structure of Dy2ZrF.

Energy ... -5.998 eV per atom
Energy relative to the elements, uncorrected ... -1.092 eV per atom

```
Dy2ZrF
1.0
1.7593 1.0157 8.3253
-1.7593 1.0157 8.3253
0.0000 -2.0314 8.3253
Dy Zr F
2 1 1
direct
0.2313 0.2313 0.2313 Dy
0.7687 0.7687 0.7687 Dy
0.0000 0.0000 0.0000 Zr
0.5000 0.5000 0.5000 F
```

=====

[12]
VASP calculation (PBE-GGA) on a relaxed structure of Dy2Fe17.

Energy ... -8.068 eV per atom
Formation enthalpy at 0 K ... -12.1 meV/atom

```
Dy2Fe17
1.0
4.2252 2.4394 4.1323
-4.2252 2.4394 4.1323
0.0000 -4.8788 4.1323
Dy Fe
2 17
direct
0.1599 0.1599 0.1599 Dy
0.8401 0.8401 0.8401 Dy
0.0000 0.5000 0.5000 Fe
0.1569 0.1569 0.6572 Fe
0.1569 0.6572 0.1569 Fe
0.2037 0.5000 0.7963 Fe
0.2037 0.7963 0.5000 Fe
0.3428 0.8431 0.8431 Fe
0.4036 0.4036 0.4036 Fe
0.5000 0.0000 0.5000 Fe
0.5000 0.2037 0.7963 Fe
0.5000 0.5000 0.0000 Fe
0.5000 0.7963 0.2037 Fe
0.5964 0.5964 0.5964 Fe
0.6572 0.1569 0.1569 Fe
0.7963 0.2037 0.5000 Fe
0.7963 0.5000 0.2037 Fe
0.8431 0.3428 0.8431 Fe
0.8431 0.8431 0.3428 Fe
```

=====

Number 1: Fermi-level density of states 2.4 states/eV per cell, total moment 0.00 μB per formula unit. Number 2: Fermi-level density of states 2.1 states/eV per cell, total moment 0.00 μB per formula unit. Number 3: Fermi-level density of states 23.2 states/eV per cell, total moment 2.11 μB per formula unit. Number 4: Fermi-level density of states 2.9 states/eV per cell, total moment 0.67 μB per formula unit. Number 5: Fermi-level density of states 0.0 states/eV per cell, total moment 0.00 μB per formula unit. Number 6: Fermi-level density of states 2.7 states/eV per cell, total moment 0.00 μB per formula unit. Number 7: Fermi-level density of states 0.0 states/eV per cell, total moment 0.00 μB per formula unit. Number 8: Fermi-level density of states 2.5 states/eV per cell, total moment 0.00 μB per formula unit. Number 9: Fermi-level density of states 4.3 states/eV per cell, total moment 0.00 μB per formula unit. Number 10: Fermi-level density of states 0.0 states/eV per cell, total moment 0.06 μB per formula unit. Number 11: Fermi-level density of states 4.9 states/eV per cell, total moment 0.00 μB per formula unit. Number 12: Fermi-level density of states 20.1 states/eV per cell, total moment 38.83 μB per formula unit.